Record 1
Compound: Nd4CI4Br
Source: OQMD via LeMat-Bulk
Functional: GGA-PBE
Structure: relaxed

Values from the calculation:
M_tot: 0.0 μB/f.u.
volume: 33.232 Å³ per atom
calculated density: 5.9 Mg/m³
raw total energy: -4.791 eV per atom

Geometry as CIF:
```
data_Nd4CI4Br
_symmetry_space_group_name_H-M 'C 1 2/m 1'
_symmetry_Int_Tables_number 12
_cell_length_a 19.4401
_cell_length_b 4.0636
_cell_length_c 8.6139
_cell_angle_alpha 90.00
_cell_angle_beta 102.38
_cell_angle_gamma 90.00
loop_
_symmetry_equiv_pos_as_xyz
'x,y,z'
'-x,-y,-z'
'-x,y,-z'
'x,-y,z'
'x+1/2,y+1/2,z'
'-x+1/2,-y+1/2,-z'
'-x+1/2,y+1/2,-z'
'x+1/2,-y+1/2,z'
loop_
_atom_site_label
_atom_site_fract_x
_atom_site_fract_y
_atom_site_fract_z
Nd1 0.0010 0.0000 0.2969
Nd2 0.1330 0.5000 0.5668
C1 0.0000 0.5000 0.5000
I1 0.1644 0.0000 0.8522
I2 0.1702 0.0000 0.3132
Br1 0.0000 0.5000 0.0000
```

---

Record 2
Compound: Nd4CIBr4
Source: OQMD via LeMat-Bulk
Functional: GGA-PBE
Structure: relaxed

Values from the calculation:
M_tot: 0.3 μB/f.u.
volume: 31.542 Å³ per atom
calculated density: 5.5 Mg/m³
raw total energy: -5.028 eV per atom

Geometry as CIF:
```
data_Nd4CIBr4
_symmetry_space_group_name_H-M 'C 1 2/m 1'
_symmetry_Int_Tables_number 12
_cell_length_a 18.3997
_cell_length_b 4.0109
_cell_length_c 8.7914
_cell_angle_alpha 90.00
_cell_angle_beta 103.51
_cell_angle_gamma 90.00
loop_
_symmetry_equiv_pos_as_xyz
'x,y,z'
'-x,-y,-z'
'-x,y,-z'
'x,-y,z'
'x+1/2,y+1/2,z'
'-x+1/2,-y+1/2,-z'
'-x+1/2,y+1/2,-z'
'x+1/2,-y+1/2,z'
loop_
_atom_site_label
_atom_site_fract_x
_atom_site_fract_y
_atom_site_fract_z
Nd1 0.0012 0.0000 0.3038
Nd2 0.1408 0.5000 0.5725
C1 0.0000 0.5000 0.5000
I1 0.0000 0.5000 0.0000
Br1 0.1645 0.0000 0.8279
Br2 0.1707 0.0000 0.3383
```

---

- What is the M_tot in the second record?
  0.3 μB/f.u.

---

- The lowest raw total energy belongs to which entry?
  Nd4CIBr4

---

- What is the formula in the first record?
  Nd4CI4Br